1.
# RbRhCl2 PBE optimized geometry
# * energy above the lowest structure with this stoichiometry: 0.34 eV/f.u.
# * final energy: -3.548 eV per atom
# * total magnetization: 0.50 μB per atom
data_RbRhCl2
_chemical_formula_sum 'Rb3 Rh3 Cl6'
_cell_length_a 5.3168
_cell_length_b 5.3168
_cell_length_c 21.6251
_cell_angle_alpha 90.00
_cell_angle_beta 90.00
_cell_angle_gamma 120.00
_symmetry_space_group_name_H-M 'R -3 m'
_symmetry_Int_Tables_number 166
_symmetry_space_group_name_Hall '-R 3 2"'
loop_
_atom_site_label
_atom_site_type_symbol
_atom_site_fract_x
_atom_site_fract_y
_atom_site_fract_z
_atom_site_occupancy
Rb1 Rb 0.0000 0.0000 0.0000 1
Rh1 Rh 0.0000 0.0000 0.5000 1
Cl1 Cl 0.0000 0.0000 0.3941 1

***

2.
# RbRhCl2 PBE optimized geometry
# * energy above the lowest structure with this stoichiometry: 0.00 eV/f.u.
# * final energy: -3.634 eV per atom
# * total magnetization: 0.00 μB per atom
data_RbRhCl2
_chemical_formula_sum 'Rb4 Rh4 Cl8'
_cell_length_a 5.986
_cell_length_b 5.986
_cell_length_c 13.946
_cell_angle_alpha 90.00
_cell_angle_beta 90.00
_cell_angle_gamma 90.00
_symmetry_space_group_name_H-M 'I -4 2 d'
_symmetry_Int_Tables_number 122
_symmetry_space_group_name_Hall 'I -4 2bw'
loop_
_atom_site_label
_atom_site_type_symbol
_atom_site_fract_x
_atom_site_fract_y
_atom_site_fract_z
_atom_site_occupancy
Rb1 Rb 0.000 0.000 0.000 1
Rh1 Rh 0.000 0.000 0.500 1
Cl1 Cl 0.119 0.250 0.625 1

***

3.
# Rb3Rh2Cl8 PBE optimized geometry
# * final energy: -3.469 eV per atom
# * total magnetization: 0.39 μB per atom
data_Rb3Rh2Cl8
_chemical_formula_sum 'Rb9 Rh6 Cl24'
_cell_length_a 7.5898
_cell_length_b 7.5898
_cell_length_c 24.9912
_cell_angle_alpha 90.00
_cell_angle_beta 90.00
_cell_angle_gamma 120.00
_symmetry_space_group_name_H-M 'R -3 m'
_symmetry_Int_Tables_number 166
_symmetry_space_group_name_Hall '-R 3 2"'
loop_
_atom_site_label
_atom_site_type_symbol
_atom_site_fract_x
_atom_site_fract_y
_atom_site_fract_z
_atom_site_occupancy
Rb1 Rb 0.0000 0.0000 0.0000 1
Rb2 Rb 0.0000 0.0000 0.2222 1
Rh1 Rh 0.0000 0.0000 0.4488 1
Cl1 Cl 0.0000 0.0000 0.3496 1
Cl2 Cl 0.0240 0.5120 0.7793 1

***

4.
# Rb3RhCl6 PBE optimized geometry
# * energy above the lowest structure with this stoichiometry: 0.00 eV/f.u.
# * final energy: -3.561 eV per atom
# * total magnetization: 0.01 μB per atom
data_Rb3RhCl6
_chemical_formula_sum 'Rb6 Rh2 Cl12'
_cell_length_a 7.557
_cell_length_b 7.777
_cell_length_c 13.055
_cell_angle_alpha 90.00
_cell_angle_beta 124.23
_cell_angle_gamma 90.00
_symmetry_space_group_name_H-M 'P 1 21/c 1'
_symmetry_Int_Tables_number 14
loop_
_symmetry_equiv_pos_as_xyz
'x,y,z'
'-x,-y,-z'
'-x,y+1/2,-z+1/2'
'x,-y+1/2,z+1/2'
loop_
_atom_site_label
_atom_site_type_symbol
_atom_site_fract_x
_atom_site_fract_y
_atom_site_fract_z
_atom_site_occupancy
Rb1 Rb 0.000 0.000 0.000 1
Rb2 Rb 0.273 0.063 0.755 1
Rh1 Rh 0.500 0.000 0.500 1
Cl1 Cl 0.202 0.021 0.290 1
Cl2 Cl 0.290 0.668 0.046 1
Cl3 Cl 0.388 0.244 0.049 1

***

5.
# Rb3RhCl6 PBE optimized geometry
# * energy above the lowest structure with this stoichiometry: 0.04 eV/f.u.
# * final energy: -3.557 eV per atom
# * total magnetization: 0.01 μB per atom
data_Rb3RhCl6
_chemical_formula_sum 'Rb6 Rh2 Cl12'
_cell_length_a 12.914
_cell_length_b 7.467
_cell_length_c 7.858
_cell_angle_alpha 90.00
_cell_angle_beta 123.05
_cell_angle_gamma 90.00
_symmetry_space_group_name_H-M 'C 1 2/m 1'
_symmetry_Int_Tables_number 12
loop_
_symmetry_equiv_pos_as_xyz
'x,y,z'
'-x,-y,-z'
'-x,y,-z'
'x,-y,z'
'x+1/2,y+1/2,z'
'-x+1/2,-y+1/2,-z'
'-x+1/2,y+1/2,-z'
'x+1/2,-y+1/2,z'
loop_
_atom_site_label
_atom_site_type_symbol
_atom_site_fract_x
_atom_site_fract_y
_atom_site_fract_z
_atom_site_occupancy
Rb1 Rb 0.000 0.000 0.000 1
Rb2 Rb 0.239 0.000 0.729 1
Rh1 Rh 0.000 0.500 0.500 1
Cl1 Cl 0.054 0.276 0.347 1
Cl2 Cl 0.205 0.500 0.794 1

***

6.
# Rb3RhCl8 PBE optimized geometry
# * final energy: -2.978 eV per atom
# * total magnetization: 0.00 μB per atom
data_Rb3RhCl8
_chemical_formula_sum 'Rb6 Rh2 Cl16'
_cell_length_a 7.374
_cell_length_b 7.374
_cell_length_c 13.817
_cell_angle_alpha 90.00
_cell_angle_beta 90.00
_cell_angle_gamma 90.00
_symmetry_space_group_name_H-M 'I 4/m m m'
_symmetry_Int_Tables_number 139
_symmetry_space_group_name_Hall '-I 4 2'
loop_
_atom_site_label
_atom_site_type_symbol
_atom_site_fract_x
_atom_site_fract_y
_atom_site_fract_z
_atom_site_occupancy
Rb1 Rb 0.000 0.000 0.000 1
Rb2 Rb 0.000 0.500 0.250 1
Rh1 Rh 0.000 0.000 0.500 1
Cl1 Cl 0.201 0.201 0.393 1

***

7.
# Rb2RhCl5 PBE optimized geometry
# * energy above the lowest structure with this stoichiometry: 0.00 eV/f.u.
# * final energy: -3.587 eV per atom
# * total magnetization: 0.00 μB per atom
data_Rb2RhCl5
_chemical_formula_sum 'Rb8 Rh4 Cl20'
_cell_length_a 9.044
_cell_length_b 6.983
_cell_length_c 14.540
_cell_angle_alpha 90.00
_cell_angle_beta 90.00
_cell_angle_gamma 90.00
_symmetry_space_group_name_H-M 'P n m a'
_symmetry_Int_Tables_number 62
loop_
_symmetry_equiv_pos_as_xyz
'x,y,z'
'-x,-y,-z'
'-x+1/2,-y,z+1/2'
'x+1/2,y,-z+1/2'
'x+1/2,-y+1/2,-z+1/2'
'-x+1/2,y+1/2,z+1/2'
'-x,y+1/2,-z'
'x,-y+1/2,z'
loop_
_atom_site_label
_atom_site_type_symbol
_atom_site_fract_x
_atom_site_fract_y
_atom_site_fract_z
_atom_site_occupancy
Rb1 Rb 0.034 0.250 0.201 1
Rb2 Rb 0.175 0.750 0.417 1
Rh1 Rh 0.172 0.750 0.058 1
Cl1 Cl 0.000 0.000 0.000 1
Cl2 Cl 0.041 0.750 0.198 1
Cl3 Cl 0.171 0.014 0.612 1
Cl4 Cl 0.205 0.250 0.412 1

***

8.
# RbRh3Cl PBE optimized geometry
# * energy above the lowest structure with this stoichiometry: 7.29 eV/f.u.
# * final energy: -2.706 eV per atom
# * total magnetization: 0.71 μB per atom
data_RbRh3Cl
_chemical_formula_sum 'Rb1 Rh3 Cl1'
_cell_length_a 5.101
_cell_length_b 5.101
_cell_length_c 5.101
_cell_angle_alpha 90.00
_cell_angle_beta 90.00
_cell_angle_gamma 90.00
_symmetry_space_group_name_H-M 'P m -3 m'
_symmetry_Int_Tables_number 221
_symmetry_space_group_name_Hall '-P 4 2 3'
loop_
_atom_site_label
_atom_site_type_symbol
_atom_site_fract_x
_atom_site_fract_y
_atom_site_fract_z
_atom_site_occupancy
Rb1 Rb 0.000 0.000 0.000 1
Rh1 Rh 0.000 0.000 0.500 1
Cl1 Cl 0.500 0.500 0.500 1

***

9.
# Rb4RhCl6 PBE optimized geometry
# * final energy: -3.511 eV per atom
# * total magnetization: 0.09 μB per atom
data_Rb4RhCl6
_chemical_formula_sum 'Rb8 Rh2 Cl12'
_cell_length_a 8.914
_cell_length_b 8.914
_cell_length_c 9.152
_cell_angle_alpha 90.00
_cell_angle_beta 90.00
_cell_angle_gamma 90.00
_symmetry_space_group_name_H-M 'P 4/m n c'
_symmetry_Int_Tables_number 128
_symmetry_space_group_name_Hall '-P 4 2n'
loop_
_atom_site_label
_atom_site_type_symbol
_atom_site_fract_x
_atom_site_fract_y
_atom_site_fract_z
_atom_site_occupancy
Rb1 Rb 0.170 0.330 0.250 1
Rh1 Rh 0.000 0.000 0.000 1
Cl1 Cl 0.000 0.000 0.260 1
Cl2 Cl 0.090 0.718 0.000 1

***

10.
# RbRhCl2 PBE optimized geometry
# * energy above the lowest structure with this stoichiometry: 1.24 eV/f.u.
# * final energy: -3.323 eV per atom
# * total magnetization: 0.50 μB per atom
data_RbRhCl2
_chemical_formula_sum 'Rb4 Rh4 Cl8'
_cell_length_a 7.265
_cell_length_b 7.265
_cell_length_c 7.265
_cell_angle_alpha 90.00
_cell_angle_beta 90.00
_cell_angle_gamma 90.00
_symmetry_space_group_name_H-M 'F m -3 m'
_symmetry_Int_Tables_number 225
_symmetry_space_group_name_Hall '-F 4 2 3'
loop_
_atom_site_label
_atom_site_type_symbol
_atom_site_fract_x
_atom_site_fract_y
_atom_site_fract_z
_atom_site_occupancy
Rb1 Rb 0.000 0.000 0.000 1
Rh1 Rh 0.000 0.000 0.500 1
Cl1 Cl 0.250 0.250 0.250 1

***

11.
# RbRh3Cl PBE optimized geometry
# * energy above the lowest structure with this stoichiometry: 0.00 eV/f.u.
# * final energy: -4.164 eV per atom
# * total magnetization: 0.23 μB per atom
data_RbRh3Cl
_chemical_formula_sum 'Rb1 Rh3 Cl1'
_cell_length_a 4.630
_cell_length_b 4.630
_cell_length_c 4.630
_cell_angle_alpha 90.00
_cell_angle_beta 90.00
_cell_angle_gamma 90.00
_symmetry_space_group_name_H-M 'P m -3 m'
_symmetry_Int_Tables_number 221
_symmetry_space_group_name_Hall '-P 4 2 3'
loop_
_atom_site_label
_atom_site_type_symbol
_atom_site_fract_x
_atom_site_fract_y
_atom_site_fract_z
_atom_site_occupancy
Rb1 Rb 0.000 0.000 0.000 1
Rh1 Rh 0.000 0.500 0.500 1
Cl1 Cl 0.500 0.500 0.500 1

***

| no. | uncorrected formation energy (eV per atom) |
| --- | --- |
| 1 | -0.545 |
| 2 | -0.631 |
| 3 | -0.978 |
| 4 | -1.428 |
| 5 | -1.424 |
| 6 | -0.892 |
| 7 | -1.272 |
| 8 | 2.268 |
| 9 | -1.484 |
| 10 | -0.320 |
| 11 | 0.810 |